Record 1
A plane-wave DFT calculation with PBE was carried out for a relaxed P2PbSF crystal.

a b c (Å): 4.162 4.162 5.940
angles (deg): 90.00 90.00 90.00
Sites, in units of the cell vectors:
P  0.000  0.500  0.000
P  0.500  0.000  0.000
Pb  0.000  0.000  0.500
S  0.500  0.500  0.500
F  0.500  0.500  0.000

Properties
For the total energy, the calculation gives -18.6 eV/cell.


Record 2
A plane-wave DFT calculation with PBE was carried out for a relaxed P2PbSF crystal.

a b c (Å): 5.421 5.421 5.129
angles (deg): 90.00 90.00 90.00
Sites, in units of the cell vectors:
P  0.000  0.500  0.000
P  0.500  0.000  0.000
Pb  0.000  0.000  0.000
S  0.000  0.000  0.500
F  0.500  0.500  0.500

Properties
For the total energy, the calculation gives -14.9 eV/cell.


Record 3
A plane-wave DFT calculation with PBE was carried out for a relaxed SrPPbF2 crystal.

a b c (Å): 4.700 4.700 5.720
angles (deg): 90.00 90.00 90.00
Sites, in units of the cell vectors:
Sr  0.000  0.000  0.000
P  0.500  0.500  0.000
Pb  0.500  0.500  0.500
F  0.000  0.500  0.500
F  0.500  0.000  0.500

Properties
For the total energy, the calculation gives -22.8 eV/cell.


Record 4
A plane-wave DFT calculation with PBE was carried out for a relaxed TePPb2F crystal.

a b c (Å): 5.732 5.732 4.022
angles (deg): 90.00 90.00 90.00
Sites, in units of the cell vectors:
Te  0.000  0.000  0.000
P  0.500  0.500  0.500
Pb  0.000  0.500  0.500
Pb  0.500  0.000  0.500
F  0.500  0.500  0.000

Properties
For the total energy, the calculation gives -20.0 eV/cell.


Record 5
A plane-wave DFT calculation with PBE was carried out for a relaxed PPdF2 crystal.

a b c (Å): 7.960 7.960 7.960
angles (deg): 19.96 19.96 19.96
Sites, in units of the cell vectors:
P  0.000  0.000  0.000
Pd  0.500  0.500  0.500
F  0.413  0.413  0.413
F  0.587  0.587  0.587

Properties
For the total energy, the calculation gives -16.5 eV/cell.


Record 6
A plane-wave DFT calculation with PBE was carried out for a relaxed PPdF2 crystal.

a b c (Å): 4.141 4.141 4.141
angles (deg): 60.00 60.00 60.00
Sites, in units of the cell vectors:
P  0.000  0.000  0.000
Pd  0.500  0.500  0.500
F  0.250  0.250  0.250
F  0.750  0.750  0.750

Properties
For the total energy, the calculation gives -15.1 eV/cell.


Record 7
A plane-wave DFT calculation with PBE was carried out for a relaxed P2PdF crystal.

a b c (Å): 4.194 4.194 4.194
angles (deg): 60.00 60.00 60.00
Sites, in units of the cell vectors:
P  0.250  0.250  0.250
P  0.750  0.750  0.750
Pd  0.000  0.000  0.000
F  0.500  0.500  0.500

Properties
For the total energy, the calculation gives -18.9 eV/cell.


Record 8
A plane-wave DFT calculation with PBE was carried out for a relaxed PPdF3 crystal.

a b c (Å): 4.097 4.097 4.097
angles (deg): 90.00 90.00 90.00
Sites, in units of the cell vectors:
P  0.000  0.000  0.000
Pd  0.500  0.500  0.500
F  0.000  0.000  0.500
F  0.000  0.500  0.000
F  0.500  0.000  0.000

Properties
For the total energy, the calculation gives -19.9 eV/cell.


no.,formation energy from raw total energies (eV/atom)
1,0.38
2,1.13
3,-1.65
4,-0.43
5,-0.54
6,-0.18
7,-0.25
8,-0.73